# BaRe3H | Alexandria via LeMat-Bulk | GGA-PBEsol | optimized geometry
# E, eV per atom: -4.345
# M_tot, μB/f.u.: 5.2
# D(E_F), states/eV per cell: 8.72
data_BaRe3H
_chemical_formula_sum 'Ba1 Re3 H1'
_symmetry_space_group_name_H-M 'P m -3 m'
_symmetry_Int_Tables_number 221
_symmetry_space_group_name_Hall '-P 4 2 3'
_cell_length_a 4.9955
_cell_length_b 4.9955
_cell_length_c 4.9955
_cell_angle_alpha 90.00
_cell_angle_beta 90.00
_cell_angle_gamma 90.00
loop_
_atom_site_label
_atom_site_fract_x
_atom_site_fract_y
_atom_site_fract_z
_atom_site_occupancy
Ba1 0.0000 0.0000 0.0000 1
Re1 0.0000 0.0000 0.5000 1
H1 0.5000 0.5000 0.5000 1